one.
DFT (PBE) results for a relaxed structure of MnNiSe.

Structure (CIF):
```
data_MnNiSe
_chemical_formula_sum 'Mn1 Ni1 Se1'
_symmetry_space_group_name_H-M 'P 3 m 1'
_symmetry_Int_Tables_number 156
_symmetry_space_group_name_Hall 'P 3 -2"'
_cell_length_a 3.9454
_cell_length_b 3.9454
_cell_length_c 3.4640
_cell_angle_alpha 90.00
_cell_angle_beta 90.00
_cell_angle_gamma 120.00
loop_
_atom_site_label
_atom_site_type_symbol
_atom_site_fract_x
_atom_site_fract_y
_atom_site_fract_z
_atom_site_occupancy
Mn1 Mn 0.0000 0.0000 0.0000 1
Ni1 Ni 0.3333 0.6667 0.4659 1
Se1 Se 0.6667 0.3333 0.5143 1
```

* Fermi-level density of states: 1.38 states/eV per cell
* ρ: 6848 kg/m³

two.
DFT (PBE) results for a relaxed structure of MnNiSe.

Structure (CIF):
```
data_MnNiSe
_chemical_formula_sum 'Mn2 Ni2 Se2'
_symmetry_space_group_name_H-M 'I 4 m m'
_symmetry_Int_Tables_number 107
_symmetry_space_group_name_Hall 'I 4 -2'
_cell_length_a 3.3722
_cell_length_b 3.3722
_cell_length_c 7.6062
_cell_angle_alpha 90.00
_cell_angle_beta 90.00
_cell_angle_gamma 90.00
loop_
_atom_site_label
_atom_site_type_symbol
_atom_site_fract_x
_atom_site_fract_y
_atom_site_fract_z
_atom_site_occupancy
Mn1 Mn 0.0000 0.0000 0.0000 1
Ni1 Ni 0.0000 0.0000 0.6548 1
Se1 Se 0.0000 0.0000 0.3365 1
```

* Fermi-level density of states: 4.87 states/eV per cell
* ρ: 7395 kg/m³

Most stable one: one, least stable one: two.

one.
DFT (PBE) results for a relaxed structure of MnNiSe3.

Structure (CIF):
```
data_MnNiSe3
_chemical_formula_sum 'Mn1 Ni1 Se3'
_symmetry_space_group_name_H-M 'P m -3 m'
_symmetry_Int_Tables_number 221
_symmetry_space_group_name_Hall '-P 4 2 3'
_cell_length_a 4.7631
_cell_length_b 4.7631
_cell_length_c 4.7631
_cell_angle_alpha 90.00
_cell_angle_beta 90.00
_cell_angle_gamma 90.00
loop_
_atom_site_label
_atom_site_type_symbol
_atom_site_fract_x
_atom_site_fract_y
_atom_site_fract_z
_atom_site_occupancy
Mn1 Mn 0.0000 0.0000 0.0000 1
Ni1 Ni 0.5000 0.5000 0.5000 1
Se1 Se 0.0000 0.0000 0.5000 1
```

* Fermi-level density of states: 7.52 states/eV per cell
* ρ: 5386 kg/m³

two.
DFT (PBE) results for a relaxed structure of MnNiSe3.

Structure (CIF):
```
data_MnNiSe3
_chemical_formula_sum 'Mn4 Ni4 Se12'
_symmetry_space_group_name_H-M 'I m a 2'
_symmetry_Int_Tables_number 46
_symmetry_space_group_name_Hall 'I 2 -2a'
_cell_length_a 7.6424
_cell_length_b 9.0861
_cell_length_c 6.6548
_cell_angle_alpha 90.00
_cell_angle_beta 90.00
_cell_angle_gamma 90.00
loop_
_atom_site_label
_atom_site_type_symbol
_atom_site_fract_x
_atom_site_fract_y
_atom_site_fract_z
_atom_site_occupancy
Mn1 Mn 0.2500 0.1839 0.0000 1
Ni1 Ni 0.2500 0.7320 0.2748 1
Se1 Se 0.0448 0.1792 0.7170 1
Se2 Se 0.2500 0.5780 0.5537 1
```

* Fermi-level density of states: 11.29 states/eV per cell
* ρ: 5038 kg/m³

Most stable one: two, least stable one: one.